(1)
An optimized crystal structure of AlCdMoH6. Source: OQMD, functional PBE.

Properties
Uncorrected energy ... -3.40 eV per atom

a b c (Å): 6.5526 6.5526 6.5526
angles (deg): 90.00 90.00 90.00
Space group F-43m (No. 216)
Unique sites:
Al  0.0000  0.0000  0.0000 x4
Cd  0.2500  0.2500  0.2500 x4
Mo  0.2500  0.2500  0.7500 x4
H  0.0000  0.0000  0.2661 x24

(2)
An optimized crystal structure of AlCdH6Pb. Source: OQMD, functional PBE.

Properties
Uncorrected energy ... -2.78 eV per atom

a b c (Å): 7.3177 7.3177 7.3177
angles (deg): 90.00 90.00 90.00
Space group F-43m (No. 216)
Unique sites:
Al  0.0000  0.0000  0.0000 x4
Cd  0.2500  0.2500  0.2500 x4
H  0.0000  0.0000  0.2400 x24
Pb  0.2500  0.2500  0.7500 x4

(3)
An optimized crystal structure of AlCdSiH6. Source: OQMD, functional PBE.

Properties
Uncorrected energy ... -2.92 eV per atom

a b c (Å): 7.0410 7.0410 7.0410
angles (deg): 90.00 90.00 90.00
Space group F-43m (No. 216)
Unique sites:
Al  0.0000  0.0000  0.0000 x4
Cd  0.0000  0.0000  0.5000 x4
Si  0.2500  0.2500  0.2500 x4
H  0.0178  0.2500  0.2500 x24